# CaMn3Cl PBE-GGA optimized geometry
# E_form (uncorrected): 0.57 eV per atom
# total magnetic moment: 8.17 μB per cell
# excess energy over the best structure of this formula in the dataset: 0.0000 eV/atom
data_CaMn3Cl
_chemical_formula_sum 'Ca1 Mn3 Cl1'
_cell_length_a 4.436
_cell_length_b 4.436
_cell_length_c 4.436
_cell_angle_alpha 90.00
_cell_angle_beta 90.00
_cell_angle_gamma 90.00
_symmetry_space_group_name_H-M 'P 1'
_symmetry_Int_Tables_number 1
loop_
_symmetry_equiv_pos_as_xyz
'x,y,z'
loop_
_atom_site_label
_atom_site_type_symbol
_atom_site_fract_x
_atom_site_fract_y
_atom_site_fract_z
Ca1 Ca 0.000 0.000 0.000
Mn1 Mn 0.000 0.500 0.500
Mn2 Mn 0.500 0.000 0.500
Mn3 Mn 0.500 0.500 0.000
Cl1 Cl 0.500 0.500 0.500

# Ba6CaNb2IrCl2O12 PBE-GGA optimized geometry
# E_form (uncorrected): -2.47 eV per atom
# total magnetic moment: 1.01 μB per cell
# excess energy over the best structure of this formula in the dataset: 0.0156 eV/atom
data_Ba6CaNb2IrCl2O12
_chemical_formula_sum 'Ba6 Ca1 Nb2 Ir1 Cl2 O12'
_cell_length_a 6.059
_cell_length_b 6.089
_cell_length_c 16.112
_cell_angle_alpha 93.10
_cell_angle_beta 93.16
_cell_angle_gamma 119.83
_symmetry_space_group_name_H-M 'P 1'
_symmetry_Int_Tables_number 1
loop_
_symmetry_equiv_pos_as_xyz
'x,y,z'
loop_
_atom_site_label
_atom_site_type_symbol
_atom_site_fract_x
_atom_site_fract_y
_atom_site_fract_z
Ba1 Ba 0.000 0.000 0.000
Ba2 Ba 0.023 0.011 0.238
Ba3 Ba 0.106 0.402 0.467
Ba4 Ba 0.284 0.625 0.872
Ba5 Ba 0.344 0.679 0.117
Ba6 Ba 0.820 0.772 0.613
Ca1 Ca 0.753 0.688 0.399
Nb1 Nb 0.424 0.047 0.432
Nb2 Nb 0.674 0.342 0.045
Ir1 Ir 0.615 0.221 0.244
Cl1 Cl 0.202 0.526 0.668
Cl2 Cl 0.886 0.848 0.809
O1 O 0.148 0.764 0.360
O2 O 0.149 0.004 0.501
O3 O 0.421 0.273 0.149
O4 O 0.433 0.292 0.343
O5 O 0.435 0.982 0.992
O6 O 0.478 0.471 0.987
O7 O 0.562 0.856 0.486
O8 O 0.680 0.401 0.497
O9 O 0.729 0.092 0.343
O10 O 0.787 0.175 0.139
O11 O 0.900 0.682 0.110
O12 O 0.948 0.402 0.978

# Zr5As2H PBE-GGA optimized geometry
# total magnetic moment: 0.00 μB per cell
data_Zr5As2H
_chemical_formula_sum 'Zr10 As4 H2'
_cell_length_a 5.915
_cell_length_b 5.915
_cell_length_c 11.269
_cell_angle_alpha 90.00
_cell_angle_beta 90.00
_cell_angle_gamma 125.70
_symmetry_space_group_name_H-M 'P 1'
_symmetry_Int_Tables_number 1
loop_
_symmetry_equiv_pos_as_xyz
'x,y,z'
loop_
_atom_site_label
_atom_site_type_symbol
_atom_site_fract_x
_atom_site_fract_y
_atom_site_fract_z
Zr1 Zr 0.059 0.941 0.623
Zr2 Zr 0.059 0.941 0.877
Zr3 Zr 0.369 0.631 0.250
Zr4 Zr 0.378 0.622 0.598
Zr5 Zr 0.378 0.622 0.902
Zr6 Zr 0.622 0.378 0.098
Zr7 Zr 0.622 0.378 0.402
Zr8 Zr 0.631 0.369 0.750
Zr9 Zr 0.941 0.059 0.123
Zr10 Zr 0.941 0.059 0.377
As1 As 0.193 0.807 0.078
As2 As 0.193 0.807 0.422
As3 As 0.807 0.193 0.578
As4 As 0.807 0.193 0.922
H1 H 0.228 0.772 0.750
H2 H 0.772 0.228 0.250

DFT total energy values, unit eV/cell, following the record order: -28.52, -165.08, -117.29.